## Mn2Pd5Au12 (GGA-PBE)

Data for an optimized crystal structure of Mn2Pd5Au12.

## Properties
Final energy in eV/atom: -4.4257
Magnetization in μB per cell: 8.95
ΔE_f in meV/atom: -24
Space-group type: C2/m (12)

abc: 7.750 7.520 6.701
angles: 90.70 90.00 121.02
Last column: magnetic moment on the atom in μB.
Fractional coordinates of all 19 atoms:
Au  0.554  0.107  0.318  0.06
Mn  0.696  0.000  0.000  3.98
Au  0.025  0.681  0.757  0.02
Pd  0.317  0.635  0.008  0.13
Au  0.975  0.319  0.243  0.02
Au  0.344  0.319  0.243  0.02
Au  0.419  0.247  0.657  0.02
Pd  0.683  0.365  0.992  0.13
Au  0.171  0.753  0.343  0.02
Au  0.446  0.893  0.682  0.06
Pd  0.000  0.000  0.500  0.00
Mn  0.304  0.000  0.000  3.98
Au  0.905  0.809  0.106  0.04
Au  0.095  0.191  0.894  0.04
Pd  0.239  0.477  0.587  0.02
Au  0.656  0.681  0.757  0.02
Pd  0.761  0.523  0.413  0.02
Au  0.581  0.753  0.343  0.02
Au  0.829  0.247  0.657  0.02


## MnPd7Au4 (GGA-PBE)

Data for an optimized crystal structure of MnPd7Au4.

## Properties
Final energy in eV/atom: -4.7731
Magnetization in μB per cell: 4.47
ΔE_f in meV/atom: 113
Space-group type: C2/m (12)

abc: 4.791 9.345 5.430
angles: 76.19 63.82 75.15
Last column: magnetic moment on the atom in μB.
Fractional coordinates of all 12 atoms:
Pd  0.500  0.000  0.000  0.17
Mn  0.000  0.000  0.000  3.79
Au  0.860  0.617  0.664  0.00
Au  0.625  0.225  0.526  0.01
Pd  0.211  0.081  0.498  0.06
Pd  0.789  0.919  0.502  0.06
Pd  0.101  0.712  0.085  0.07
Au  0.140  0.383  0.336  0.00
Pd  0.371  0.471  0.787  0.01
Au  0.375  0.775  0.474  0.01
Pd  0.629  0.529  0.213  0.01
Pd  0.899  0.288  0.915  0.07


## Mn2Pd9Au (GGA-PBE)

Data for an optimized crystal structure of Mn2Pd9Au.

## Properties
Final energy in eV/atom: -5.8653
Magnetization in μB per cell: 9.43
ΔE_f in meV/atom: -169
Space-group type: P4/mmm (123)

abc: 3.943 3.943 11.891
angles: 90.00 90.00 90.00
Last column: magnetic moment on the atom in μB.
Fractional coordinates of all 12 atoms:
Pd  0.000  0.500  0.174  0.14
Pd  0.500  0.000  0.174  0.14
Pd  0.500  0.500  0.663  0.18
Au  0.000  0.000  0.000  0.03
Pd  0.000  0.500  0.826  0.14
Pd  0.500  0.000  0.500  0.19
Pd  0.500  0.000  0.826  0.14
Mn  0.000  0.000  0.665  3.89
Pd  0.000  0.500  0.500  0.19
Pd  0.500  0.500  0.000  0.12
Mn  0.000  0.000  0.335  3.89
Pd  0.500  0.500  0.337  0.18


## MnPd3Au4 (GGA-PBE)

Data for an optimized crystal structure of MnPd3Au4.

## Properties
Final energy in eV/atom: -4.7026
Magnetization in μB per cell: 4.62
ΔE_f in meV/atom: 30
Space-group type: C2/m (12)

abc: 3.778 4.104 10.944
angles: 67.30 99.94 90.00
Last column: magnetic moment on the atom in μB.
Fractional coordinates of all 8 atoms:
Au  0.298  0.415  0.597  0.01
Au  0.396  0.714  0.791  0.03
Pd  0.901  0.203  0.803  0.11
Mn  0.500  0.000  0.000  3.99
Pd  0.099  0.797  0.197  0.11
Au  0.702  0.585  0.403  0.01
Pd  0.000  0.500  0.000  0.14
Au  0.604  0.286  0.209  0.03


Q: Which value of magnetization does entry 2 give?
A: 4.47 μB per cell